VASP calculation (GGA-PBE) on crystalline HoPuTeSe2 at its relaxed geometry.

a b c (Å): 4.550 4.550 7.708
angles (deg): 107.17 107.17 90.00
Fractional positions:
1 Ho 0.865 0.865 0.731
2 Se 0.752 0.252 0.504
3 Pu 0.128 0.128 0.257
4 Te 0.502 0.502 0.004
5 Se 0.252 0.752 0.504

Values from the calculation:
**E_form (uncorrected)**: -5.70 eV per formula unit
**Total magnetization**: 4.988 μB per cell
**Electronic total energy**: -34.72 eV for the cell shown
**Crystal system**: tetragonal